## ZrFe2Ag (PBE)

Data for a relaxed ZrFe2Ag crystal.

POSCAR file:
```
ZrFe2Ag
1.0
4.9775 0.0086 0.0000
1.9550 4.5776 0.0000
-3.4663 -2.2931 2.7392
Fe Zr Ag
2 1 1
direct
0.2500 0.7500 0.5000 Fe
0.0000 0.0000 0.0000 Fe
0.5000 0.5000 0.0000 Zr
0.7500 0.2500 0.5000 Ag
```

Computed properties:
For the formation energy, the calculation gives 150 meV/atom. The value obtained for the uncorrected energy is -6.931 eV/atom. The density of states at the Fermi level is 1.00 states/eV/atom. The offset from the most stable computed form is 0.062 eV per atom.